Material: Ti2VHO6
Method: DFT, PBE+U
State: relaxed

Summary:
space-group type = P2_1/c (14)
theoretical density = 4.0 Mg/m³
total energy = -8.116 eV per atom
total magnetization = 8.000 Bohr magnetons per cell

abc: 4.622 8.634 10.122
angles: 87.30 90.00 90.00
Sites, in units of the cell vectors:
O1 0.786 0.415 0.454
O2 0.791 0.090 0.959
O3 0.196 0.755 0.786
O4 0.238 0.409 0.807
O5 0.286 0.585 0.046
Ti1 0.970 0.774 0.621
Ti2 0.530 0.774 0.121
Ti3 0.003 0.094 0.120
V1 0.982 0.409 0.646
O6 0.214 0.585 0.546
O7 0.709 0.761 0.948
O8 0.209 0.910 0.041
O9 0.304 0.755 0.286
Ti4 0.503 0.906 0.380
O10 0.291 0.239 0.052
O11 0.738 0.591 0.693
O12 0.221 0.073 0.296
O13 0.696 0.245 0.714
Ti5 0.030 0.226 0.379
O14 0.291 0.910 0.541
V2 0.482 0.591 0.854
O15 0.804 0.245 0.214
V3 0.018 0.591 0.354
O16 0.709 0.090 0.459
H1 0.078 0.594 0.068
O17 0.762 0.591 0.193
Ti6 0.470 0.226 0.879
O18 0.721 0.927 0.204
O19 0.209 0.239 0.552
O20 0.714 0.415 0.954
O21 0.262 0.409 0.307
O22 0.779 0.927 0.704
Ti7 0.997 0.906 0.880
H2 0.922 0.406 0.932
V4 0.518 0.409 0.146
O23 0.791 0.761 0.448
O24 0.279 0.073 0.796
Ti8 0.497 0.094 0.620
H3 0.578 0.406 0.432
H4 0.422 0.594 0.568